Entry 1:
# PBE PuCdCuO6, relaxed
data_PuCdCuO6
_symmetry_space_group_name_H-M 'P -3 1 c'
_symmetry_Int_Tables_number 163
_symmetry_space_group_name_Hall '-P 3 2c'
_cell_length_a 5.2386
_cell_length_b 5.2386
_cell_length_c 9.9877
_cell_angle_alpha 90.00
_cell_angle_beta 90.00
_cell_angle_gamma 120.00
loop_
_atom_site_label
_atom_site_fract_x
_atom_site_fract_y
_atom_site_fract_z
Pu1 0.3333 0.6667 0.2500
Cd1 0.0000 0.0000 0.0000
Cu1 0.3333 0.6667 0.7500
O1 0.0023 0.3576 0.1384
# - Crystal system: trigonal
# - Magnetization: 2.02 μB per cell
# - D(E_F): 5.750 states/eV per cell
# - Formation energy (no corrections): -1413 meV/atom

=====

Entry 2:
# PBE CdCoSn2Hg, relaxed
data_CdCoSn2Hg
_symmetry_space_group_name_H-M 'P 4/m m m'
_symmetry_Int_Tables_number 123
_symmetry_space_group_name_Hall '-P 4 2'
_cell_length_a 4.872
_cell_length_b 4.872
_cell_length_c 5.159
_cell_angle_alpha 90.00
_cell_angle_beta 90.00
_cell_angle_gamma 90.00
loop_
_atom_site_label
_atom_site_fract_x
_atom_site_fract_y
_atom_site_fract_z
Cd1 0.000 0.000 0.000
Co1 0.000 0.000 0.500
Sn1 0.000 0.500 0.500
Hg1 0.500 0.500 0.000
# - Polymorph energy (0 for the lowest one): 0.000 eV/atom
# - E_form: 0.2 eV/f.u.
# - Crystal system: tetragonal
# - Magnetization: 0.00 μB per cell
# - D(E_F): 2.240 states/eV per cell

=====

Entry 3:
# PBE CeHoSc2Ru4, relaxed
data_CeHoSc2Ru4
_symmetry_space_group_name_H-M 'R -3 m'
_symmetry_Int_Tables_number 166
_symmetry_space_group_name_Hall '-R 3 2"'
_cell_length_a 4.6950
_cell_length_b 4.6950
_cell_length_c 22.8091
_cell_angle_alpha 90.00
_cell_angle_beta 90.00
_cell_angle_gamma 120.00
loop_
_atom_site_label
_atom_site_fract_x
_atom_site_fract_y
_atom_site_fract_z
Ce1 0.0000 0.0000 0.0000
Ho1 0.0000 0.0000 0.5000
Sc1 0.0000 0.0000 0.2470
Ru1 0.0000 0.0000 0.1216
Ru2 0.0000 0.0000 0.3724
# - E_form: -4.0 eV/f.u.
# - Crystal system: trigonal
# - Magnetization: 0.00 μB per cell
# - D(E_F): 10.899 states/eV per cell

=====

Entry 4:
# PBE ErGe2Pt7, relaxed
data_ErGe2Pt7
_symmetry_space_group_name_H-M 'I 4/m m m'
_symmetry_Int_Tables_number 139
_symmetry_space_group_name_Hall '-I 4 2'
_cell_length_a 4.087
_cell_length_b 4.087
_cell_length_c 20.533
_cell_angle_alpha 90.00
_cell_angle_beta 90.00
_cell_angle_gamma 90.00
loop_
_atom_site_label
_atom_site_fract_x
_atom_site_fract_y
_atom_site_fract_z
Er1 0.000 0.000 0.000
Ge1 0.000 0.000 0.325
Pt1 0.000 0.000 0.500
Pt2 0.000 0.500 0.102
Pt3 0.000 0.500 0.250
# - E_form: -7.0 eV/f.u.
# - Crystal system: tetragonal
# - Magnetization: 0.00 μB per cell
# - D(E_F): 7.202 states/eV per cell

=====

Entry 5:
# PBE CeNpPd6, relaxed
data_CeNpPd6
_symmetry_space_group_name_H-M 'P 4/m m m'
_symmetry_Int_Tables_number 123
_symmetry_space_group_name_Hall '-P 4 2'
_cell_length_a 4.153
_cell_length_b 4.153
_cell_length_c 8.315
_cell_angle_alpha 90.00
_cell_angle_beta 90.00
_cell_angle_gamma 90.00
loop_
_atom_site_label
_atom_site_fract_x
_atom_site_fract_y
_atom_site_fract_z
Ce1 0.000 0.000 0.000
Np1 0.000 0.000 0.500
Pd1 0.000 0.500 0.249
Pd2 0.500 0.500 0.000
Pd3 0.500 0.500 0.500
# - E_form: -5.1 eV/f.u.
# - Crystal system: tetragonal
# - Magnetization: 4.02 μB per cell
# - D(E_F): 14.564 states/eV per cell

=====

Entry 6:
# PBE PmHoNiRh, relaxed
data_PmHoNiRh
_symmetry_space_group_name_H-M 'F -4 3 m'
_symmetry_Int_Tables_number 216
_symmetry_space_group_name_Hall 'F -4 2 3'
_cell_length_a 6.899
_cell_length_b 6.899
_cell_length_c 6.899
_cell_angle_alpha 90.00
_cell_angle_beta 90.00
_cell_angle_gamma 90.00
loop_
_atom_site_label
_atom_site_fract_x
_atom_site_fract_y
_atom_site_fract_z
Pm1 0.000 0.000 0.000
Ho1 0.000 0.000 0.500
Ni1 0.250 0.250 0.250
Rh1 0.250 0.250 0.750
# - Polymorph energy (0 for the lowest one): 0.051 eV/atom
# - E_form: -2.2 eV/f.u.
# - Crystal system: cubic
# - Magnetization: 0.00 μB per cell
# - D(E_F): 11.186 states/eV per cell

=====

Entry 7:
# PBE Pm5Se5N2, relaxed
data_Pm5Se5N2
_symmetry_space_group_name_H-M 'C 1 2/m 1'
_symmetry_Int_Tables_number 12
_symmetry_space_group_name_Hall '-C 2y'
_cell_length_a 13.441
_cell_length_b 3.985
_cell_length_c 11.114
_cell_angle_alpha 90.00
_cell_angle_beta 105.13
_cell_angle_gamma 90.00
loop_
_atom_site_label
_atom_site_fract_x
_atom_site_fract_y
_atom_site_fract_z
Pm1 0.000 0.000 0.000
Pm2 0.095 0.000 0.366
Pm3 0.149 0.500 0.797
Se1 0.000 0.500 0.500
Se2 0.165 0.500 0.073
Se3 0.246 0.000 0.634
N1 0.046 0.000 0.799
# - Crystal system: monoclinic
# - Magnetization: 0.00 μB per cell
# - D(E_F): 9.847 states/eV per cell
# - Formation energy (no corrections): -1631 meV/atom

=====

Entry 8:
# PBE TmPa3, relaxed
data_TmPa3
_symmetry_space_group_name_H-M 'P m m 2'
_symmetry_Int_Tables_number 25
_symmetry_space_group_name_Hall 'P 2 -2'
_cell_length_a 3.196
_cell_length_b 5.564
_cell_length_c 5.759
_cell_angle_alpha 90.00
_cell_angle_beta 90.00
_cell_angle_gamma 90.00
loop_
_atom_site_label
_atom_site_fract_x
_atom_site_fract_y
_atom_site_fract_z
Tm1 0.000 0.000 0.000
Pa1 0.000 0.500 0.712
Pa2 0.500 0.000 0.503
Pa3 0.500 0.500 0.219
# - Polymorph energy (0 for the lowest one): 0.028 eV/atom
# - E_form: 0.6 eV/f.u.
# - Crystal system: orthorhombic
# - Magnetization: 0.00 μB per cell
# - D(E_F): 9.015 states/eV per cell

=====

Entry 9:
# PBE Y2ScPt, relaxed
data_Y2ScPt
_symmetry_space_group_name_H-M 'I -4 2 d'
_symmetry_Int_Tables_number 122
_symmetry_space_group_name_Hall 'I -4 2bw'
_cell_length_a 8.429
_cell_length_b 8.429
_cell_length_c 6.111
_cell_angle_alpha 90.00
_cell_angle_beta 90.00
_cell_angle_gamma 90.00
loop_
_atom_site_label
_atom_site_fract_x
_atom_site_fract_y
_atom_site_fract_z
Y1 0.186 0.250 0.125
Sc1 0.000 0.000 0.500
Pt1 0.000 0.000 0.000
# - Polymorph energy (0 for the lowest one): 0.262 eV/atom
# - E_form: -1.5 eV/f.u.
# - Crystal system: tetragonal
# - Magnetization: 0.00 μB per cell
# - D(E_F): 18.717 states/eV per cell

=====

Entry 10:
# PBE SiIr, relaxed
data_SiIr
_symmetry_space_group_name_H-M 'P 4/m m m'
_symmetry_Int_Tables_number 123
_symmetry_space_group_name_Hall '-P 4 2'
_cell_length_a 2.822
_cell_length_b 2.822
_cell_length_c 3.384
_cell_angle_alpha 90.00
_cell_angle_beta 90.00
_cell_angle_gamma 90.00
loop_
_atom_site_label
_atom_site_fract_x
_atom_site_fract_y
_atom_site_fract_z
Si1 0.000 0.000 0.000
Ir1 0.500 0.500 0.500
# - Crystal system: tetragonal
# - Magnetization: 0.00 μB per cell
# - D(E_F): 0.718 states/eV per cell
# - Formation energy (no corrections): -331 meV/atom

=====

Entry 11:
# PBE InSbTe2F, relaxed
data_InSbTe2F
_symmetry_space_group_name_H-M 'P 4/m m m'
_symmetry_Int_Tables_number 123
_symmetry_space_group_name_Hall '-P 4 2'
_cell_length_a 5.620
_cell_length_b 5.620
_cell_length_c 5.686
_cell_angle_alpha 90.00
_cell_angle_beta 90.00
_cell_angle_gamma 90.00
loop_
_atom_site_label
_atom_site_fract_x
_atom_site_fract_y
_atom_site_fract_z
In1 0.000 0.000 0.000
Sb1 0.000 0.000 0.500
Te1 0.000 0.500 0.000
F1 0.500 0.500 0.500
# - Polymorph energy (0 for the lowest one): 0.568 eV/atom
# - Crystal system: tetragonal
# - Magnetization: 0.00 μB per cell
# - D(E_F): 5.424 states/eV per cell
# - Formation energy (no corrections): 407 meV/atom

=====

Entry 12:
# PBE Y2Zn2Sn, relaxed
data_Y2Zn2Sn
_symmetry_space_group_name_H-M 'I 4/m m m'
_symmetry_Int_Tables_number 139
_symmetry_space_group_name_Hall '-I 4 2'
_cell_length_a 3.621
_cell_length_b 3.621
_cell_length_c 18.522
_cell_angle_alpha 90.00
_cell_angle_beta 90.00
_cell_angle_gamma 90.00
loop_
_atom_site_label
_atom_site_fract_x
_atom_site_fract_y
_atom_site_fract_z
Y1 0.000 0.000 0.110
Zn1 0.000 0.500 0.250
Sn1 0.000 0.000 0.500
# - E_form: -1.4 eV/f.u.
# - Crystal system: tetragonal
# - Magnetization: 0.00 μB per cell
# - D(E_F): 9.062 states/eV per cell

=====

Entry 13:
# PBE Li2SiRh, relaxed
data_Li2SiRh
_symmetry_space_group_name_H-M 'I 4/m m m'
_symmetry_Int_Tables_number 139
_symmetry_space_group_name_Hall '-I 4 2'
_cell_length_a 3.510
_cell_length_b 3.510
_cell_length_c 8.505
_cell_angle_alpha 90.00
_cell_angle_beta 90.00
_cell_angle_gamma 90.00
loop_
_atom_site_label
_atom_site_fract_x
_atom_site_fract_y
_atom_site_fract_z
Li1 0.000 0.500 0.250
Si1 0.000 0.000 0.000
Rh1 0.000 0.000 0.500
# - Crystal system: tetragonal
# - Magnetization: 0.00 μB per cell
# - D(E_F): 3.795 states/eV per cell
# - Formation energy (no corrections): -412 meV/atom

=====

no.,final energy (eV/atom)
1,-6.868
2,-3.222
3,-8.039
4,-6.305
5,-6.889
6,-6.169
7,-6.449
8,-8.083
9,-6.701
10,-7.473
11,-2.596
12,-4.185
13,-4.563